A relaxed structure of Ca2GaSn. Source: Alexandria via LeMat-Bulk, functional GGA-PBEsol.

Total DFT energy (no corrections) (eV/cell): -14.34
V (A^3/atom): 27.45
Formation enthalpy at 0 K (eV/atom): -0.617

a b c (Å): 4.3066 4.5262 6.0700
angles (deg): 111.89 90.00 90.00
Element x y z (fractional)
Ca: 0.5000 0.3619 0.7238
Ca: 0.0000 0.6414 0.2828
Sn: 0.5000 0.0740 0.1480
Ga: 0.0000 0.9227 0.8453

***

A relaxed structure of Ca2GaSn. Source: Alexandria via LeMat-Bulk, functional GGA-PBEsol.

Total DFT energy (no corrections) (eV/cell): -14.08
V (A^3/atom): 25.49
Formation enthalpy at 0 K (eV/atom): -0.554

a b c (Å): 5.2440 5.2440 5.2440
angles (deg): 60.00 60.00 60.00
Element x y z (fractional)
Sn: 0.5000 0.5000 0.5000
Ca: 0.2500 0.2500 0.2500
Ga: 0.0000 0.0000 0.0000
Ca: 0.7500 0.7500 0.7500

***

A relaxed structure of Ca2GaSn2. Source: Alexandria via LeMat-Bulk, functional GGA-PBEsol.

Total DFT energy (no corrections) (eV/cell): -37.35
V (A^3/atom): 26.36
Formation enthalpy at 0 K (eV/atom): -0.510

a b c (Å): 4.7614 7.4399 7.4399
angles (deg): 90.00 90.00 90.00
Element x y z (fractional)
Ca: 0.5000 0.6688 0.8312
Ca: 0.5000 0.3312 0.1688
Sn: 0.0000 0.6385 0.1385
Sn: 0.0000 0.3615 0.8615
Sn: 0.0000 0.8615 0.6385
Sn: 0.0000 0.1385 0.3615
Ca: 0.5000 0.8312 0.3312
Ca: 0.5000 0.1688 0.6688
Ga: 0.0000 0.0000 0.0000
Ga: 0.0000 0.5000 0.5000

***

A relaxed structure of Sr2CaGa2. Source: Alexandria via LeMat-Bulk, functional GGA-PBEsol.

Total DFT energy (no corrections) (eV/cell): -12.75
V (A^3/atom): 34.61
Formation enthalpy at 0 K (eV/atom): -0.050

a b c (Å): 3.8381 3.8381 12.0583
angles (deg): 99.16 99.16 90.00
Element x y z (fractional)
Sr: 0.6334 0.6334 0.2668
Ca: 0.0000 0.0000 0.0000
Sr: 0.3666 0.3666 0.7332
Ga: 0.2500 0.7500 0.5000
Ga: 0.7500 0.2500 0.5000

***

A relaxed structure of Sr2CaGa2. Source: Alexandria via LeMat-Bulk, functional GGA-PBEsol.

Total DFT energy (no corrections) (eV/cell): -28.10
V (A^3/atom): 31.10
Formation enthalpy at 0 K (eV/atom): -0.311

a b c (Å): 4.2386 8.5661 8.5661
angles (deg): 90.00 90.00 90.00
Element x y z (fractional)
Ga: 0.0000 0.1146 0.3854
Sr: 0.5000 0.8242 0.3242
Sr: 0.5000 0.6758 0.8242
Ga: 0.0000 0.3854 0.8854
Ga: 0.0000 0.8854 0.6146
Ga: 0.0000 0.6146 0.1146
Sr: 0.5000 0.3242 0.1758
Ca: 0.0000 0.0000 0.0000
Ca: 0.0000 0.5000 0.5000
Sr: 0.5000 0.1758 0.6758

***

A relaxed structure of Ca2TaGaW. Source: Alexandria via LeMat-Bulk, functional GGA-PBEsol.

Total DFT energy (no corrections) (eV/cell): -23.83
V (A^3/atom): 28.78
Formation enthalpy at 0 K (eV/atom): 2.026

a b c (Å): 4.9321 5.4015 5.4015
angles (deg): 90.00 90.00 90.00
Last column: magnetic moment on the atom in μB.
Element x y z (fractional)
Ca: 0.0000 0.5000 0.0000  -0.01
Ta: 0.0000 0.0000 0.0000  -0.37
W: 0.5000 0.5000 0.5000  3.01
Ca: 0.0000 0.0000 0.5000  -0.01
Ga: 0.5000 0.0000 0.0000  -0.03

***

A relaxed structure of CaGa2Tc. Source: Alexandria via LeMat-Bulk, functional GGA-PBEsol.

Total DFT energy (no corrections) (eV/cell): -20.17
V (A^3/atom): 16.82
Formation enthalpy at 0 K (eV/atom): -0.022

a b c (Å): 4.5651 4.5651 4.5651
angles (deg): 60.00 60.00 60.00
Element x y z (fractional)
Ga: 0.7500 0.7500 0.7500
Ca: 0.0000 0.0000 0.0000
Tc: 0.5000 0.5000 0.5000
Ga: 0.2500 0.2500 0.2500

***

A relaxed structure of CaGaTe2. Source: Alexandria via LeMat-Bulk, functional GGA-PBEsol.

Total DFT energy (no corrections) (eV/cell): -30.22
V (A^3/atom): 38.02

a b c (Å): 6.5763 6.5763 8.4318
angles (deg): 112.95 112.95 90.00
Element x y z (fractional)
Ga: 0.0000 0.0000 0.0000
Te: 0.3366 0.8750 0.2500
Ga: 0.2500 0.7500 0.5000
Te: 0.6250 0.6634 0.7500
Ca: 0.5000 0.5000 0.0000
Te: 0.1250 0.0866 0.7500
Te: 0.9134 0.3750 0.2500
Ca: 0.7500 0.2500 0.5000

***

A relaxed structure of Ca2GaTe2. Source: Alexandria via LeMat-Bulk, functional GGA-PBEsol.

Total DFT energy (no corrections) (eV/cell): -39.59
V (A^3/atom): 28.64

a b c (Å): 4.0447 8.4145 8.4145
angles (deg): 90.00 90.00 90.00
Element x y z (fractional)
Ga: 0.0000 0.0000 0.0000
Ga: 0.0000 0.5000 0.5000
Te: 0.0000 0.1530 0.3470
Te: 0.0000 0.8470 0.6530
Ca: 0.5000 0.6522 0.8478
Ca: 0.5000 0.3478 0.1522
Ca: 0.5000 0.1522 0.6522
Te: 0.0000 0.3470 0.8470
Te: 0.0000 0.6530 0.1530
Ca: 0.5000 0.8478 0.3478

***

A relaxed structure of CaGa6Te10. Source: Alexandria via LeMat-Bulk, functional GGA-PBEsol.

Total DFT energy (no corrections) (eV/cell): -129.81
V (A^3/atom): 30.92

a b c (Å): 10.1495 10.1773 10.1773
angles (deg): 90.45 90.12 89.88
Element x y z (fractional)
Te: 0.9157 0.3443 0.7464
Te: 0.1665 0.4226 0.0839
Ga: 0.4248 0.4179 0.1273
Ga: 0.8773 0.0976 0.6822
Ga: 0.2528 0.0853 0.5942
Te: 0.6696 0.8233 0.1879
Te: 0.5000 0.1713 0.1713
Te: 0.0000 0.0850 0.0850
Ga: 0.8399 0.8226 0.3871
Te: 0.2608 0.5810 0.6963
Te: 0.1616 0.2543 0.4258
Te: 0.3215 0.8202 0.0080
Ga: 0.1702 0.0009 0.9078
Ga: 0.5752 0.1273 0.4179
Ga: 0.1601 0.3871 0.8226
Te: 0.8335 0.0839 0.4226
Te: 0.4317 0.5852 0.3239
Ga: 0.7472 0.5942 0.0853
Te: 0.0843 0.7464 0.3443
Te: 0.4374 0.9296 0.5049
Te: 0.9321 0.6816 0.9196
Te: 0.0679 0.9196 0.6816
Te: 0.6785 0.0080 0.8202
Te: 0.7392 0.6963 0.5810
Te: 0.5626 0.5049 0.9296
Ga: 0.8298 0.9078 0.0009
Te: 0.5683 0.3239 0.5852
Ga: 0.3348 0.4272 0.5086
Ga: 0.1227 0.6822 0.0976
Ca: 0.2532 0.9948 0.2604
Te: 0.3304 0.1879 0.8233
Ca: 0.7468 0.2604 0.9948
Te: 0.8384 0.4258 0.2543
Ga: 0.6652 0.5086 0.4272

***

A relaxed structure of Ca2ZnGa. Source: Alexandria via LeMat-Bulk, functional GGA-PBEsol.

Total DFT energy (no corrections) (eV/cell): -10.59
V (A^3/atom): 23.48
Formation enthalpy at 0 K (eV/atom): -0.350

a b c (Å): 5.1020 5.1020 5.1020
angles (deg): 60.00 60.00 60.00
Element x y z (fractional)
Zn: 0.0000 0.0000 0.0000
Ca: 0.2500 0.2500 0.2500
Ga: 0.5000 0.5000 0.5000
Ca: 0.7500 0.7500 0.7500

***

A relaxed structure of Ca2Zn3Ga. Source: Alexandria via LeMat-Bulk, functional GGA-PBEsol.

Total DFT energy (no corrections) (eV/cell): -14.58
V (A^3/atom): 20.12
Formation enthalpy at 0 K (eV/atom): -0.372

a b c (Å): 4.4274 5.6558 5.6949
angles (deg): 78.74 67.13 66.96
Element x y z (fractional)
Ga: 0.1636 0.2771 0.3957
Zn: 0.8371 0.7176 0.6082
Ca: 0.4527 0.2955 0.7992
Zn: 0.8355 0.1084 0.2206
Zn: 0.1640 0.8977 0.7742
Ca: 0.5471 0.7038 0.2020

***

Spin magnetization values (in μB per cell) by entry order: 0.00, 0.00, 0.00, 0.00, 0.00, 3.53, 0.00, 0.00, 0.00, 0.00, 0.00, 0.00.